#1
Entry from Alexandria via LeMat-Bulk: a relaxed HfBi3H crystal (PBE).

```
HfBi3H
1.0
-5.236 1.082 -1.830
-0.686 -5.464 -1.265
-2.012 -0.950 5.194
Hf H Bi
1 1 3
direct
0.000 0.000 0.000
0.500 0.500 0.500
0.500 0.000 0.000
0.000 0.500 0.000
0.000 0.000 0.500
```

Computed properties:
For the total moment, the calculation gives 0.849 μB/f.u. As for the space-group type: No. 221.

=====

#2
Entry from Alexandria via LeMat-Bulk: a relaxed HfBi3H crystal (PBE).

```
HfBi3H
1.0
-1.461 -3.348 -3.255
-2.766 -2.127 3.429
-3.762 2.864 -1.257
Hf Bi H
1 3 1
direct
0.500 0.500 0.500
0.000 0.500 0.000
0.000 0.000 0.500
0.500 0.000 0.000
0.000 0.000 0.000
```

Computed properties:
For the total moment, the calculation gives 0.000 μB/f.u. As for the space-group type: No. 221.

=====

Quick one: least stable of them? #1

=====

#1
Entry from Alexandria via LeMat-Bulk: a relaxed Hf3BiH crystal (PBE).

```
Hf3BiH
1.0
-3.295 -3.042 -4.363
6.996 -4.096 0.141
-2.318 -3.646 6.861
H Hf Bi
4 12 4
direct
0.250 0.992 0.008
0.250 0.732 0.268
0.750 0.008 0.992
0.750 0.268 0.732
0.927 0.001 0.250
0.073 0.999 0.750
0.926 0.262 0.981
0.814 0.263 0.489
0.574 0.019 0.738
0.686 0.511 0.737
0.074 0.738 0.019
0.426 0.981 0.262
0.427 0.250 0.001
0.573 0.750 0.999
0.314 0.489 0.263
0.186 0.737 0.511
0.810 0.509 0.220
0.310 0.220 0.509
0.190 0.491 0.780
0.690 0.780 0.491
```

Computed properties:
For the total moment, the calculation gives 0.000 μB/f.u. As for the space-group type: No. 15.

=====

#2
Entry from Alexandria via LeMat-Bulk: a relaxed Hf3BiH crystal (PBE).

```
Hf3BiH
1.0
-3.950 -2.043 -0.616
1.815 -3.899 1.291
-1.123 0.887 4.256
Bi Hf H
1 3 1
direct
0.500 0.500 0.500
0.000 0.500 0.000
0.500 0.000 0.000
0.000 0.000 0.500
0.000 0.000 0.000
```

Computed properties:
For the total moment, the calculation gives 0.000 μB/f.u. As for the space-group type: No. 221.

=====

Quick one: least stable of them? #1